Record 1
A relaxed structure of HoMgSc2. Source: Alexandria via LeMat-Bulk, functional PBE-GGA.

The structure in POSCAR format:
```
HoMgSc2
1.0
3.315 0.000 0.000
1.658 2.871 0.000
1.658 0.957 10.839
Sc Ho Mg
2 1 1
Direct
0.252 0.252 0.243
0.748 0.748 0.757
0.500 0.500 0.500
0.000 0.000 0.000
```

Properties
Energy of formation from the pure elements in eV/atom: 0.04
Energy relative to the lowest polymorph listed for this composition in eV/atom: 0.036


Record 2
A relaxed structure of KHfTl2I8. Source: Alexandria via LeMat-Bulk, functional PBE-GGA.

The structure in POSCAR format:
```
KHfTl2I8
1.0
-7.196 -0.868 4.495
3.243 -2.554 5.481
1.199 9.318 3.690
I Hf Tl K
8 1 2 1
Direct
0.512 0.756 0.500
0.488 0.244 0.500
0.878 0.256 0.796
0.875 0.254 0.202
0.288 0.191 0.002
0.712 0.809 0.998
0.122 0.744 0.204
0.125 0.746 0.798
0.000 0.000 0.000
0.501 0.498 0.793
0.499 0.502 0.207
0.000 0.000 0.500
```

Properties
Formation energy from raw total energies in eV/atom: -0.7863


Record 3
A relaxed structure of AcZnCdPb. Source: Alexandria via LeMat-Bulk, functional PBE-GGA.

The structure in POSCAR format:
```
AcZnCdPb
1.0
-3.913 -0.164 -3.737
1.275 -0.563 -5.231
-1.096 -4.637 -2.569
Cd Zn Pb Ac
1 1 1 1
Direct
0.500 0.500 0.500
0.000 0.000 0.000
0.250 0.250 0.250
0.750 0.750 0.750
```

Properties
Energy of formation from the pure elements in eV/atom: -0.20


Record 4
A relaxed structure of Ge3IrPb. Source: Alexandria via LeMat-Bulk, functional PBE-GGA.

The structure in POSCAR format:
```
Ge3IrPb
1.0
4.899 0.000 0.000
0.000 4.899 0.000
0.000 0.000 4.899
Pb Ir Ge
1 1 3
Direct
0.500 0.500 0.500
0.000 0.000 0.000
0.000 0.500 0.000
0.000 0.000 0.500
0.500 0.000 0.000
```

Properties
Energy of formation from the pure elements in eV/atom: 0.25
Energy relative to the lowest polymorph listed for this composition in eV/atom: 0.000


Record 5
A relaxed structure of Pr6ZnCd2. Source: Alexandria via LeMat-Bulk, functional PBE-GGA.

The structure in POSCAR format:
```
Pr6ZnCd2
1.0
6.483 0.000 0.778
0.000 8.760 0.000
0.252 0.000 10.062
Cd Pr Zn
4 12 2
Direct
0.393 0.104 0.272
0.893 0.396 0.772
0.607 0.896 0.728
0.107 0.604 0.228
0.390 0.787 0.438
0.861 0.659 0.539
0.647 0.440 0.269
0.610 0.213 0.562
0.639 0.159 0.961
0.147 0.060 0.769
0.110 0.287 0.062
0.361 0.841 0.039
0.353 0.560 0.731
0.890 0.713 0.938
0.139 0.341 0.461
0.853 0.940 0.231
0.000 0.000 0.500
0.500 0.500 0.000
```

Properties
Energy of formation from the pure elements in eV/atom: -0.09


Record 6
A relaxed structure of Tm2MnZn3Ni12. Source: Alexandria via LeMat-Bulk, functional PBE-GGA.

The structure in POSCAR format:
```
Tm2MnZn3Ni12
1.0
9.089 1.890 1.340
6.132 6.970 1.340
6.132 3.569 6.135
Ni Zn Mn Tm
12 3 1 2
Direct
0.917 0.917 0.365
0.420 0.420 0.814
0.635 0.083 0.083
0.580 0.186 0.580
0.365 0.917 0.917
0.420 0.814 0.420
0.083 0.635 0.083
0.083 0.083 0.635
0.580 0.580 0.186
0.186 0.580 0.580
0.814 0.420 0.420
0.917 0.365 0.917
0.000 0.500 0.000
0.000 0.000 0.500
0.500 0.000 0.000
0.000 0.000 0.000
0.352 0.352 0.352
0.648 0.648 0.648
```

Properties
Energy of formation from the pure elements in eV/atom: 0.11